No. 1
Computed, not measured: a PBEsol-optimized structure of K2RbEuV2O8 at the SCAN level of DFT.

a b c (Å): 5.987 5.987 7.636
angles (deg): 90.00 90.00 120.00
Site moments in Bohr magnetons follow the coordinates.
Sites, in units of the cell vectors:
V 0.333 0.667 0.241  0.01
V 0.667 0.333 0.759  0.01
O 0.667 0.333 0.976  -0.01
O 0.353 0.176 0.680  -0.04
O 0.176 0.824 0.320  -0.04
O 0.176 0.353 0.320  -0.04
O 0.824 0.647 0.680  -0.04
O 0.647 0.824 0.320  -0.04
O 0.824 0.176 0.680  -0.04
O 0.333 0.667 0.024  -0.01
Eu 0.000 0.000 0.500  6.16
K 0.333 0.667 0.689  0.00
K 0.667 0.333 0.311  0.00
Rb 0.000 0.000 0.000  0.00

Output
The calculation puts the uncorrected formation energy at -37.13 eV per formula unit. For the magnetic moment, the calculation gives 5.97 Bohr magnetons per cell.



No. 2
Computed, not measured: a PBEsol-optimized structure of Na2GeSe at the SCAN level of DFT.

a b c (Å): 4.953 4.953 4.953
angles (deg): 60.00 60.00 60.00
Sites, in units of the cell vectors:
Ge 0.000 0.000 0.000
Na 0.250 0.250 0.250
Na 0.750 0.750 0.750
Se 0.500 0.500 0.500

Output
The calculation puts the uncorrected formation energy at -0.90 eV per formula unit. For the magnetic moment, the calculation gives 0.00 Bohr magnetons per cell.



No. 3
Computed, not measured: a PBEsol-optimized structure of MgSbN2F at the SCAN level of DFT.

a b c (Å): 4.048 4.048 4.051
angles (deg): 90.00 90.00 90.00
Sites, in units of the cell vectors:
Sb 0.000 0.000 0.000
Mg 0.500 0.500 0.500
N 0.500 0.000 0.000
N 0.000 0.500 0.000
F 0.000 0.000 0.500

Output
The calculation puts the uncorrected formation energy at -0.33 eV per formula unit. For the magnetic moment, the calculation gives 0.00 Bohr magnetons per cell.



No. 4
Computed, not measured: a PBEsol-optimized structure of MnCuW2 at the SCAN level of DFT.

a b c (Å): 3.703 3.784 3.784
angles (deg): 90.00 90.00 90.00
Site moments in Bohr magnetons follow the coordinates.
Sites, in units of the cell vectors:
W 0.000 0.000 0.500  -0.26
W 0.000 0.500 0.000  -0.26
Mn 0.500 0.000 0.000  1.96
Cu 0.500 0.500 0.500  -0.04

Output
The value obtained for the formation energy is 1.00 eV/f.u. The calculation puts the relative energy among the computed polymorphs at 0.0000 eV/atom. For the magnetic moment, the calculation gives 1.33 Bohr magnetons per cell.



No. 5
Computed, not measured: a PBEsol-optimized structure of CrIr2Rh at the SCAN level of DFT.

a b c (Å): 2.678 4.584 4.584
angles (deg): 108.94 90.00 90.00
Site moments in Bohr magnetons follow the coordinates.
Sites, in units of the cell vectors:
Rh 0.500 0.000 0.000  -0.12
Ir 0.000 0.500 0.000  -0.24
Ir 0.000 0.000 0.500  -0.24
Cr 0.500 0.500 0.500  2.35

Output
The value obtained for the formation energy is -0.93 eV/f.u. For the magnetic moment, the calculation gives 1.86 Bohr magnetons per cell.



No. 6
Computed, not measured: a PBEsol-optimized structure of NiAs2Ir at the SCAN level of DFT.

a b c (Å): 4.309 4.309 4.309
angles (deg): 60.00 60.00 60.00
Sites, in units of the cell vectors:
As 0.750 0.750 0.750
As 0.250 0.250 0.250
Ni 0.500 0.500 0.500
Ir 0.000 0.000 0.000

Output
The value obtained for the formation energy is 0.38 eV/f.u. The calculation puts the relative energy among the computed polymorphs at 0.1887 eV/atom. For the magnetic moment, the calculation gives 0.00 Bohr magnetons per cell.



No. 7
Computed, not measured: a PBEsol-optimized structure of Ba3CaMo at the SCAN level of DFT.

a b c (Å): 5.991 5.991 5.991
angles (deg): 90.00 90.00 90.00
Sites, in units of the cell vectors:
Mo 0.000 0.000 0.000
Ba 0.000 0.000 0.500
Ba 0.000 0.500 0.000
Ba 0.500 0.000 0.000
Ca 0.500 0.500 0.500

Output
The value obtained for the formation energy is 3.77 eV/f.u. For the magnetic moment, the calculation gives 0.00 Bohr magnetons per cell.



No. 8
Computed, not measured: a PBEsol-optimized structure of CrCdGa2O at the SCAN level of DFT.

a b c (Å): 4.725 4.725 5.106
angles (deg): 90.00 90.00 90.00
Site moments in Bohr magnetons follow the coordinates.
Sites, in units of the cell vectors:
Ga 0.000 0.500 0.000  0.07
Ga 0.500 0.000 0.000  0.07
Cr 0.000 0.000 0.000  3.58
O 0.500 0.500 0.500  1.10
Cd 0.000 0.000 0.500  0.10

Output
The calculation puts the uncorrected formation energy at 3.66 eV per formula unit. For the magnetic moment, the calculation gives 5.47 Bohr magnetons per cell.



Q: magnetic moment of number 3 (MgSbN2F)?
A: 0.00 Bohr magnetons per cell



Q: Which of these has the highest magnetic moment?
A: K2RbEuV2O8